Record 1
First-principles (PBE-GGA) data for a relaxed structure of CrPdS2N, as listed in Alexandria via LeMat-Bulk.

Its offset from the most stable computed form is 0 meV/atom. Its density of states at the Fermi level is 4.3 states/eV per cell. The calculation puts the total magnetization at 0.54 μB/f.u.

The structure belongs to space group P4/mmm (No. 123); the cell edges are 4.6497, 4.6497 and 3.4814 Å and the angles 90.00°, 90.00° and 90.00°. The inequivalent atoms are Cr at (0.0000, 0.0000, 0.0000), Pd at (0.5000, 0.5000, 0.5000), S at (0.0000, 0.5000, 0.0000) and N at (0.0000, 0.0000, 0.5000).

=====

Record 2
First-principles (PBE-GGA) data for a relaxed structure of CrPdSN2, as listed in Alexandria via LeMat-Bulk.

Its offset from the most stable computed form is 0 meV/atom. Its density of states at the Fermi level is 3.3 states/eV per cell. The calculation puts the total magnetization at 0.50 μB/f.u.

The structure belongs to space group P4/mmm (No. 123); the cell edges are 3.6014, 3.6014 and 5.0798 Å and the angles 90.00°, 90.00° and 90.00°. The inequivalent atoms are Cr at (0.0000, 0.0000, 0.0000), Pd at (0.5000, 0.5000, 0.5000), S at (0.0000, 0.0000, 0.5000) and N at (0.0000, 0.5000, 0.0000).

=====

Number 1: final energy -5.965 eV/atom, uncorrected formation energy 0.315 eV per atom. Number 2: final energy -6.603 eV/atom, uncorrected formation energy 0.516 eV per atom.